The following is a GGA-PBE calculation of crystalline LaAl3Cl at its relaxed geometry, from Alexandria.

Geometry as CIF:
```
data_LaAl3Cl
_cell_length_a 5.9910
_cell_length_b 5.9910
_cell_length_c 5.9910
_cell_angle_alpha 90.00
_cell_angle_beta 90.00
_cell_angle_gamma 90.00
_symmetry_space_group_name_H-M 'P m -3 m'
_symmetry_Int_Tables_number 221
_symmetry_space_group_name_Hall '-P 4 2 3'
loop_
_atom_site_label
_atom_site_type_symbol
_atom_site_fract_x
_atom_site_fract_y
_atom_site_fract_z
_atom_site_occupancy
La1 La 0.0000 0.0000 0.0000 1
Al1 Al 0.0000 0.0000 0.5000 1
Cl1 Cl 0.5000 0.5000 0.5000 1
```

Properties
spin magnetization: 0.00 Bohr magnetons per cell
offset from the most stable computed form: 932.6 meV/atom
DOS at the Fermi energy: 7.7 states/eV/cell
formation energy without anion corrections: 1.03 eV per atom
electronic total energy: -2.57 eV per atom